No. 1
## Ca2ScPb (GGA-PBEsol)

Data for a relaxed Ca2ScPb crystal.

Cell lengths 3.5986, 3.5986, 32.9882 Å; angles 90.00, 90.00, 120.00 degrees
Space group R3m (No. 160, hexagonal axes)
Asymmetric unit:
Ca (0.0000, 0.0000, 0.0000) [3 per cell]
Ca (0.0000, 0.0000, 0.2341) [3 per cell]
Sc (0.0000, 0.0000, 0.7531) [3 per cell]
Pb (0.0000, 0.0000, 0.4903) [3 per cell]

ΔE_f: -0.081 eV/atom
Fermi-level density of states: 13.31 states/eV/cell
E_tot: -3.80 eV/atom
Spin magnetization: 1.80 μB/cell



No. 2
## BeHg2Os (GGA-PBEsol)

Data for a relaxed BeHg2Os crystal.

Cell lengths 6.342, 6.342, 6.342 Å; angles 90.00, 90.00, 90.00 degrees
Space group F-43m (No. 216)
Asymmetric unit:
Be (0.000, 0.000, 0.000) [4 per cell]
Hg (0.000, 0.000, 0.500) [4 per cell]
Hg (0.250, 0.250, 0.250) [4 per cell]
Os (0.250, 0.250, 0.750) [4 per cell]

ΔE_f: 0.828 eV/atom
Fermi-level density of states: 6.25 states/eV/cell
E_tot: -3.51 eV/atom
Spin magnetization: 0.00 μB/cell



No. 3
## Li2CaYTe (GGA-PBEsol)

Data for a relaxed Li2CaYTe crystal.

Cell lengths 5.265, 5.265, 6.331 Å; angles 90.00, 90.00, 90.00 degrees
Space group P4/mmm (No. 123)
Asymmetric unit:
Li (0.000, 0.500, 0.000) [2 per cell]
Ca (0.000, 0.000, 0.500) [1 per cell]
Y (0.000, 0.000, 0.000) [1 per cell]
Te (0.500, 0.500, 0.500) [1 per cell]

Fermi-level density of states: 4.79 states/eV/cell
E_tot: -2.52 eV/atom
Raw formation energy: 3.8 eV/f.u.
Spin magnetization: 2.82 μB/cell



No. 4
## CaCu2 (GGA-PBEsol)

Data for a relaxed CaCu2 crystal.

Cell lengths 3.970, 3.970, 14.481 Å; angles 90.00, 90.00, 90.00 degrees
Space group I4_1/amd (No. 141, origin choice 2)
Asymmetric unit:
Ca (0.000, 0.250, 0.375) [4 per cell]
Cu (0.000, 0.250, 0.794) [8 per cell]

ΔE_f: -0.041 eV/atom
Fermi-level density of states: 4.96 states/eV/cell
E_tot: -3.64 eV/atom
Spin magnetization: 0.00 μB/cell



No. 5
## TaNb3Rh (GGA-PBEsol)

Data for a relaxed TaNb3Rh crystal.

Cell lengths 4.752, 4.752, 4.752 Å; angles 90.00, 90.00, 90.00 degrees
Space group Pm-3m (No. 221)
Asymmetric unit:
Ta (0.000, 0.000, 0.000) [1 per cell]
Nb (0.000, 0.000, 0.500) [3 per cell]
Rh (0.500, 0.500, 0.500) [1 per cell]

ΔE_f: 1.746 eV/atom
Fermi-level density of states: 9.02 states/eV/cell
E_tot: -8.89 eV/atom
Spin magnetization: 0.00 μB/cell



No. 6
## Ba2VP2O9 (GGA-PBEsol)

Data for a relaxed Ba2VP2O9 crystal.

Cell lengths 17.548, 5.460, 9.453 Å; angles 90.00, 110.13, 90.00 degrees
Space group C2/c (No. 15)
Asymmetric unit:
Ba (0.163, 0.017, 0.327) [8 per cell]
V (0.000, 0.434, 0.750) [4 per cell]
P (0.131, 0.470, 0.575) [8 per cell]
O (0.000, 0.134, 0.750) [4 per cell]
O (0.055, 0.404, 0.435) [8 per cell]
O (0.104, 0.488, 0.716) [8 per cell]
O (0.171, 0.288, 0.060) [8 per cell]
O (0.191, 0.254, 0.602) [8 per cell]

E_tot: -7.90 eV/atom
Raw formation energy: -37.8 eV/f.u.
Spin magnetization: 4.00 μB/cell



No. 7
## Ta2AlTlCr (GGA-PBEsol)

Data for a relaxed Ta2AlTlCr crystal.

Cell lengths 4.718, 4.718, 4.822 Å; angles 90.00, 90.00, 90.00 degrees
Space group P4/mmm (No. 123)
Asymmetric unit:
Ta (0.000, 0.500, 0.000) [2 per cell]
Al (0.000, 0.000, 0.000) [1 per cell]
Tl (0.000, 0.000, 0.500) [1 per cell]
Cr (0.500, 0.500, 0.500) [1 per cell]

ΔE_f: 1.691 eV/atom
Fermi-level density of states: 4.42 states/eV/cell
E_tot: -6.72 eV/atom
Spin magnetization: 3.04 μB/cell



No. 8
## CsKI2O (GGA-PBEsol)

Data for a relaxed CsKI2O crystal.

Cell lengths 6.559, 6.559, 5.142 Å; angles 90.00, 90.00, 90.00 degrees
Space group P4/mmm (No. 123)
Asymmetric unit:
Cs (0.000, 0.000, 0.000) [1 per cell]
K (0.500, 0.500, 0.500) [1 per cell]
I (0.000, 0.500, 0.500) [2 per cell]
O (0.500, 0.500, 0.000) [1 per cell]

Fermi-level density of states: 6.05 states/eV/cell
E_tot: -2.75 eV/atom
Raw formation energy: -2.9 eV/f.u.
Spin magnetization: 2.05 μB/cell



- spin magnetization of number 8 (CsKI2O)?
  2.05 μB/cell



- What is the E_tot in the third record?
  -2.52 eV/atom



- E_tot of number 1 (Ca2ScPb)?
  -3.80 eV/atom



- What is the formula in the seventh record?
  Ta2AlTlCr